Entry 1:
A plane-wave DFT calculation with PBE was carried out for crystalline La2GaH2O6 at its relaxed geometry.

Summary:
Total magnetic moment (μB/atom): 0.000
Total DFT energy (no corrections) (eV per atom): -6.425

```
La2GaH2O6
1.0
-0.504 5.058 -0.722
-1.285 3.039 3.934
4.254 3.338 2.161
La Ga H O
2 1 2 6
Direct
0.767 0.767 0.699 La
0.233 0.233 0.301 La
0.000 0.000 0.000 Ga
0.419 0.419 0.742 H
0.581 0.581 0.258 H
0.745 0.745 0.250 O
0.260 0.745 0.250 O
0.745 0.260 0.250 O
0.255 0.740 0.750 O
0.740 0.255 0.750 O
0.255 0.255 0.750 O
```

---

Entry 2:
A plane-wave DFT calculation with PBE was carried out for crystalline LaGaHOs2 at its relaxed geometry.

Summary:
Total magnetic moment (μB/atom): 0.000
Total DFT energy (no corrections) (eV per atom): -6.424

```
LaGaHOs2
1.0
4.198 0.000 0.000
0.000 4.198 0.000
0.000 0.000 4.351
H Os Ga La
1 2 1 1
Direct
0.000 0.000 0.000 H
0.000 0.500 0.000 Os
0.500 0.000 0.000 Os
0.500 0.500 0.500 Ga
0.000 0.000 0.500 La
```

---

Entry 3:
A plane-wave DFT calculation with PBE was carried out for crystalline La2GaHPd6 at its relaxed geometry.

Summary:
Total magnetic moment (μB/atom): 0.000
Total DFT energy (no corrections) (eV per atom): -5.466

```
La2GaHPd6
1.0
-2.072 -2.637 4.733
3.591 -5.738 -1.620
4.767 -3.591 3.643
La Ga H Pd
2 1 1 6
Direct
0.768 0.230 0.463 La
0.232 0.770 0.537 La
0.500 0.500 0.000 Ga
0.000 0.000 0.000 H
0.229 0.267 0.542 Pd
0.731 0.770 0.041 Pd
0.228 0.770 0.041 Pd
0.772 0.230 0.959 Pd
0.269 0.230 0.959 Pd
0.771 0.733 0.458 Pd
```

---

Entry 4:
A plane-wave DFT calculation with PBE was carried out for crystalline La2GaHPd at its relaxed geometry.

Summary:
Total magnetic moment (μB/atom): 0.001
Total DFT energy (no corrections) (eV per atom): -4.864

```
La2GaHPd
1.0
5.289 0.000 0.000
0.000 5.289 0.000
0.000 0.000 3.816
H Ga Pd La
1 1 1 2
Direct
0.000 0.000 0.000 H
0.500 0.500 0.500 Ga
0.000 0.000 0.500 Pd
0.000 0.500 0.000 La
0.500 0.000 0.000 La
```